No. 1
First-principles (PBE) data for a geometry-optimized Ce9Y4In11 structure, as listed in the Alexandria database.

## Properties
For the energy, the calculation gives -117.15 eV/cell. For the energy of formation, the calculation gives -0.324 eV/atom. Its total magnetization is 0.02 μB/atom.

abc: 14.767 14.767 3.386
angles: 90.00 90.00 116.46
Atoms (fractional coordinates):
Ce  0.000  0.000  0.000
Ce  0.136  0.684  0.000
Ce  0.297  0.474  0.000
Ce  0.316  0.864  0.000
Ce  0.474  0.297  0.000
Ce  0.526  0.703  0.000
Ce  0.684  0.136  0.000
Ce  0.703  0.526  0.000
Ce  0.864  0.316  0.000
Y  0.077  0.267  0.000
Y  0.267  0.077  0.000
Y  0.733  0.923  0.000
Y  0.923  0.733  0.000
In  0.089  0.464  0.500
In  0.120  0.880  0.500
In  0.255  0.255  0.500
In  0.323  0.677  0.500
In  0.464  0.089  0.500
In  0.500  0.500  0.500
In  0.536  0.911  0.500
In  0.677  0.323  0.500
In  0.745  0.745  0.500
In  0.880  0.120  0.500
In  0.911  0.536  0.500

---

No. 2
First-principles (PBE) data for a geometry-optimized CeY4In2 structure, as listed in the Alexandria database.

## Properties
For the energy, the calculation gives -76.65 eV/cell. For the energy of formation, the calculation gives -0.151 eV/atom. Its total magnetization is 0.14 μB/atom.

abc: 8.301 6.658 8.446
angles: 90.00 117.17 90.00
Atoms (fractional coordinates):
Ce  0.243  0.250  0.322
Ce  0.757  0.750  0.678
Y  0.035  0.750  0.527
Y  0.102  0.250  0.899
Y  0.428  0.004  0.766
Y  0.428  0.496  0.766
Y  0.572  0.504  0.234
Y  0.572  0.996  0.234
Y  0.898  0.750  0.101
Y  0.965  0.250  0.473
In  0.202  0.750  0.961
In  0.333  0.750  0.393
In  0.667  0.250  0.607
In  0.798  0.250  0.039

---

No. 3
First-principles (PBE) data for a geometry-optimized CeY7In4 structure, as listed in the Alexandria database.

## Properties
For the energy, the calculation gives -63.60 eV/cell. For the energy of formation, the calculation gives -0.122 eV/atom. Its total magnetization is 0.08 μB/atom.

abc: 7.801 7.801 10.559
angles: 121.13 121.13 42.12
Atoms (fractional coordinates):
Ce  0.000  0.000  0.000
Y  0.065  0.065  0.396
Y  0.211  0.211  0.878
Y  0.281  0.281  0.339
Y  0.500  0.500  0.000
Y  0.719  0.719  0.661
Y  0.789  0.789  0.122
Y  0.935  0.935  0.604
In  0.320  0.320  0.667
In  0.438  0.438  0.238
In  0.562  0.562  0.762
In  0.680  0.680  0.333

---

No. 4
First-principles (PBE) data for a geometry-optimized CeY2In structure, as listed in the Alexandria database.

## Properties
The excess energy over the best structure of this formula in the dataset is 0.0 meV per atom. For the energy, the calculation gives -22.46 eV/cell. For the energy of formation, the calculation gives -0.216 eV/atom. Its total magnetization is 0.30 μB/atom.

abc: 4.932 4.932 4.717
angles: 90.00 90.00 90.00
Atoms (fractional coordinates):
Ce  0.000  0.000  0.000
Y  0.000  0.500  0.500
Y  0.500  0.000  0.500
In  0.500  0.500  0.000

---

No. 5
First-principles (PBE) data for a geometry-optimized CeYIn structure, as listed in the Alexandria database.

## Properties
The excess energy over the best structure of this formula in the dataset is 0.0 meV per atom. For the energy, the calculation gives -32.19 eV/cell. For the energy of formation, the calculation gives -0.319 eV/atom. Its total magnetization is 0.00 μB/atom.

abc: 4.889 3.957 8.980
angles: 90.00 93.44 90.00
Atoms (fractional coordinates):
Ce  0.184  0.250  0.027
Ce  0.816  0.750  0.973
Y  0.236  0.750  0.370
Y  0.764  0.250  0.630
In  0.274  0.750  0.728
In  0.726  0.250  0.272

---

No. 6
First-principles (PBE) data for a geometry-optimized CeYZn2In2 structure, as listed in the Alexandria database.

## Properties
For the energy, the calculation gives -22.75 eV/cell. For the energy of formation, the calculation gives -0.388 eV/atom. Its total magnetization is 0.20 μB/atom.

abc: 4.702 4.702 7.442
angles: 90.00 90.00 120.00
Atoms (fractional coordinates):
Ce  0.000  0.000  0.000
Y  0.000  0.000  0.500
Zn  0.333  0.667  0.268
Zn  0.667  0.333  0.732
In  0.333  0.667  0.744
In  0.667  0.333  0.256